Nd2ScPd after structural relaxation, computed with PBE.

Results
ρ = 6.82 g/cm³
Calculated volume = 107.1 Å³ per cell
ΔE_f = -0.311 eV/atom
Crystal system = tetragonal
Polymorph energy (0 for the lowest one) = 0.000 eV/f.u.

Cell: 3.741 3.741 7.653 Å, 90.00 90.00 90.00°
Sites, in units of the cell vectors:
Nd 0.000 0.000 0.222
Nd 0.000 0.000 0.778
Sc 0.500 0.500 0.500
Pd 0.500 0.500 0.000